(1)
# LiZrTe2I, optimized geometry, DFT PBE
# ΔE to the lowest computed polymorph	0.000	eV per atom
# crystal system	tetragonal
# formation energy (no corrections)	-516	meV/atom
# size of the total moment	0.0	μB/f.u.
data_LiZrTe2I
_chemical_formula_sum 'Li1 Zr1 Te2 I1'
_cell_length_a 5.6390
_cell_length_b 5.6390
_cell_length_c 5.8888
_cell_angle_alpha 90.00
_cell_angle_beta 90.00
_cell_angle_gamma 90.00
_space_group_name_H-M_alt 'P 4/m m m'
_space_group_IT_number 123
_space_group_name_Hall '-P 4 2'
loop_
_atom_site_label
_atom_site_type_symbol
_atom_site_fract_x
_atom_site_fract_y
_atom_site_fract_z
Li1 Li 0.0000 0.0000 0.0000
Zr1 Zr 0.5000 0.5000 0.5000
Te1 Te 0.0000 0.5000 0.5000
I1 I 0.5000 0.5000 0.0000

(2)
# LiThI4, optimized geometry, DFT PBE
# ΔE to the lowest computed polymorph	0.208	eV per atom
# crystal system	tetragonal
# formation energy (no corrections)	-929	meV/atom
# size of the total moment	0.7	μB/f.u.
data_LiThI4
_chemical_formula_sum 'Li2 Th2 I8'
_cell_length_a 7.3946
_cell_length_b 7.3946
_cell_length_c 7.5618
_cell_angle_alpha 90.00
_cell_angle_beta 90.00
_cell_angle_gamma 90.00
_space_group_name_H-M_alt 'I -4'
_space_group_IT_number 82
loop_
_space_group_symop_operation_xyz
'x,y,z'
'y,-x,-z'
'-x,-y,z'
'-y,x,-z'
'x+1/2,y+1/2,z+1/2'
'y+1/2,-x+1/2,-z+1/2'
'-x+1/2,-y+1/2,z+1/2'
'-y+1/2,x+1/2,-z+1/2'
loop_
_atom_site_label
_atom_site_type_symbol
_atom_site_fract_x
_atom_site_fract_y
_atom_site_fract_z
Li1 Li 0.0000 0.0000 0.0000
Th1 Th 0.0000 0.5000 0.2500
I1 I 0.2029 0.7104 0.5762

(3)
# LiThI6, optimized geometry, DFT PBE
# crystal system	triclinic
# formation energy (no corrections)	-938	meV/atom
# size of the total moment	0.9	μB/f.u.
data_LiThI6
_chemical_formula_sum 'Li1 Th1 I6'
_cell_length_a 7.6217
_cell_length_b 7.7593
_cell_length_c 7.9607
_cell_angle_alpha 67.29
_cell_angle_beta 62.00
_cell_angle_gamma 61.59
_space_group_name_H-M_alt 'P -1'
_space_group_IT_number 2
loop_
_space_group_symop_operation_xyz
'x,y,z'
'-x,-y,-z'
loop_
_atom_site_label
_atom_site_type_symbol
_atom_site_fract_x
_atom_site_fract_y
_atom_site_fract_z
Li1 Li 0.0000 0.0000 0.0000
Th1 Th 0.5000 0.5000 0.5000
I1 I 0.0727 0.7692 0.7332
I2 I 0.2922 0.5900 0.2008
I3 I 0.3632 0.1381 0.7293

(4)
# Li5Th3I12, optimized geometry, DFT PBE
# crystal system	cubic
# formation energy (no corrections)	-920	meV/atom
# size of the total moment	5.0	μB/f.u.
data_Li5Th3I12
_chemical_formula_sum 'Li40 Th24 I96'
_cell_length_a 17.6292
_cell_length_b 17.6292
_cell_length_c 17.6292
_cell_angle_alpha 90.00
_cell_angle_beta 90.00
_cell_angle_gamma 90.00
_space_group_name_H-M_alt 'I a -3 d'
_space_group_IT_number 230
_space_group_name_Hall '-I 4bd 2c 3'
loop_
_atom_site_label
_atom_site_type_symbol
_atom_site_fract_x
_atom_site_fract_y
_atom_site_fract_z
Li1 Li 0.0000 0.0000 0.0000
Li2 Li 0.0000 0.2500 0.3750
Th1 Th 0.0000 0.2500 0.1250
I1 I 0.0268 0.0640 0.6528

(5)
# LiThI4, optimized geometry, DFT PBE
# ΔE to the lowest computed polymorph	0.000	eV per atom
# crystal system	monoclinic
# formation energy (no corrections)	-1137	meV/atom
# size of the total moment	0.1	μB/f.u.
data_LiThI4
_chemical_formula_sum 'Li1 Th1 I4'
_cell_length_a 7.8186
_cell_length_b 4.0667
_cell_length_c 8.4343
_cell_angle_alpha 90.00
_cell_angle_beta 108.32
_cell_angle_gamma 90.00
_space_group_name_H-M_alt 'P 1 2/m 1'
_space_group_IT_number 10
loop_
_space_group_symop_operation_xyz
'x,y,z'
'-x,-y,-z'
'-x,y,-z'
'x,-y,z'
loop_
_atom_site_label
_atom_site_type_symbol
_atom_site_fract_x
_atom_site_fract_y
_atom_site_fract_z
Li1 Li 0.0000 0.0000 0.0000
Th1 Th 0.5000 0.5000 0.0000
I1 I 0.2360 0.0000 0.7500
I2 I 0.2372 0.5000 0.2102

(6)
# LiThTlI6, optimized geometry, DFT PBE
# crystal system	trigonal
# formation energy (no corrections)	-1094	meV/atom
# size of the total moment	0.0	μB/f.u.
data_LiThTlI6
_chemical_formula_sum 'Li2 Th2 Tl2 I12'
_cell_length_a 7.8563
_cell_length_b 7.8563
_cell_length_c 15.3771
_cell_angle_alpha 90.00
_cell_angle_beta 90.00
_cell_angle_gamma 120.00
_space_group_name_H-M_alt 'P -3 1 c'
_space_group_IT_number 163
_space_group_name_Hall '-P 3 2c'
loop_
_atom_site_label
_atom_site_type_symbol
_atom_site_fract_x
_atom_site_fract_y
_atom_site_fract_z
Li1 Li 0.3333 0.6667 0.2500
Th1 Th 0.3333 0.6667 0.7500
Tl1 Tl 0.0000 0.0000 0.0000
I1 I 0.0038 0.3654 0.1355

(7)
# LiTi2I6, optimized geometry, DFT PBE
# ΔE to the lowest computed polymorph	0.117	eV per atom
# crystal system	monoclinic
# formation energy (no corrections)	-707	meV/atom
# size of the total moment	3.0	μB/f.u.
data_LiTi2I6
_chemical_formula_sum 'Li4 Ti8 I24'
_cell_length_a 16.2145
_cell_length_b 15.8299
_cell_length_c 7.2900
_cell_angle_alpha 90.00
_cell_angle_beta 116.67
_cell_angle_gamma 90.00
_space_group_name_H-M_alt 'C 1 2/c 1'
_space_group_IT_number 15
loop_
_space_group_symop_operation_xyz
'x,y,z'
'-x,-y,-z'
'-x,y,-z+1/2'
'x,-y,z+1/2'
'x+1/2,y+1/2,z'
'-x+1/2,-y+1/2,-z'
'-x+1/2,y+1/2,-z+1/2'
'x+1/2,-y+1/2,z+1/2'
loop_
_atom_site_label
_atom_site_type_symbol
_atom_site_fract_x
_atom_site_fract_y
_atom_site_fract_z
Li1 Li 0.0000 0.2504 0.2500
Ti1 Ti 0.2497 0.0756 0.3741
I1 I 0.0953 0.1481 0.0959
I2 I 0.0951 0.3529 0.5939
I3 I 0.2493 0.0867 0.7479

(8)
# LiTiI5, optimized geometry, DFT PBE
# crystal system	monoclinic
# formation energy (no corrections)	-776	meV/atom
# size of the total moment	0.0	μB/f.u.
data_LiTiI5
_chemical_formula_sum 'Li4 Ti4 I20'
_cell_length_a 16.9214
_cell_length_b 7.1062
_cell_length_c 10.7096
_cell_angle_alpha 90.00
_cell_angle_beta 111.00
_cell_angle_gamma 90.00
_space_group_name_H-M_alt 'C 1 2/c 1'
_space_group_IT_number 15
loop_
_space_group_symop_operation_xyz
'x,y,z'
'-x,-y,-z'
'-x,y,-z+1/2'
'x,-y,z+1/2'
'x+1/2,y+1/2,z'
'-x+1/2,-y+1/2,-z'
'-x+1/2,y+1/2,-z+1/2'
'x+1/2,-y+1/2,z+1/2'
loop_
_atom_site_label
_atom_site_type_symbol
_atom_site_fract_x
_atom_site_fract_y
_atom_site_fract_z
Li1 Li 0.0000 0.1129 0.2500
Ti1 Ti 0.0000 0.5000 0.0000
I1 I 0.0000 0.3205 0.7500
I2 I 0.1206 0.2524 0.4964
I3 I 0.1237 0.2600 0.1411

(9)
# Li2TiI, optimized geometry, DFT PBE
# ΔE to the lowest computed polymorph	0.177	eV per atom
# crystal system	cubic
# formation energy (no corrections)	411	meV/atom
# size of the total moment	3.4	μB/f.u.
data_Li2TiI
_chemical_formula_sum 'Li8 Ti4 I4'
_cell_length_a 7.2291
_cell_length_b 7.2291
_cell_length_c 7.2291
_cell_angle_alpha 90.00
_cell_angle_beta 90.00
_cell_angle_gamma 90.00
_space_group_name_H-M_alt 'F m -3 m'
_space_group_IT_number 225
_space_group_name_Hall '-F 4 2 3'
loop_
_atom_site_label
_atom_site_type_symbol
_atom_site_fract_x
_atom_site_fract_y
_atom_site_fract_z
Li1 Li 0.2500 0.2500 0.2500
Ti1 Ti 0.0000 0.0000 0.0000
I1 I 0.0000 0.0000 0.5000

(10)
# Li2Ti2I, optimized geometry, DFT PBE
# crystal system	tetragonal
# formation energy (no corrections)	758	meV/atom
# size of the total moment	0.3	μB/f.u.
data_Li2Ti2I
_chemical_formula_sum 'Li2 Ti2 I1'
_cell_length_a 5.0775
_cell_length_b 5.0775
_cell_length_c 4.9543
_cell_angle_alpha 90.00
_cell_angle_beta 90.00
_cell_angle_gamma 90.00
_space_group_name_H-M_alt 'P 4/m m m'
_space_group_IT_number 123
_space_group_name_Hall '-P 4 2'
loop_
_atom_site_label
_atom_site_type_symbol
_atom_site_fract_x
_atom_site_fract_y
_atom_site_fract_z
Li1 Li 0.0000 0.0000 0.0000
Li2 Li 0.5000 0.5000 0.0000
Ti1 Ti 0.0000 0.5000 0.5000
I1 I 0.0000 0.0000 0.5000

(11)
# LiTi3I, optimized geometry, DFT PBE
# ΔE to the lowest computed polymorph	0.000	eV per atom
# crystal system	cubic
# formation energy (no corrections)	855	meV/atom
# size of the total moment	0.0	μB/f.u.
data_LiTi3I
_chemical_formula_sum 'Li1 Ti3 I1'
_cell_length_a 4.5390
_cell_length_b 4.5390
_cell_length_c 4.5390
_cell_angle_alpha 90.00
_cell_angle_beta 90.00
_cell_angle_gamma 90.00
_space_group_name_H-M_alt 'P m -3 m'
_space_group_IT_number 221
_space_group_name_Hall '-P 4 2 3'
loop_
_atom_site_label
_atom_site_type_symbol
_atom_site_fract_x
_atom_site_fract_y
_atom_site_fract_z
Li1 Li 0.0000 0.0000 0.0000
Ti1 Ti 0.0000 0.0000 0.5000
I1 I 0.5000 0.5000 0.5000

(12)
# Li3TiI, optimized geometry, DFT PBE
# ΔE to the lowest computed polymorph	0.000	eV per atom
# crystal system	cubic
# formation energy (no corrections)	517	meV/atom
# size of the total moment	0.1	μB/f.u.
data_Li3TiI
_chemical_formula_sum 'Li3 Ti1 I1'
_cell_length_a 5.1724
_cell_length_b 5.1724
_cell_length_c 5.1724
_cell_angle_alpha 90.00
_cell_angle_beta 90.00
_cell_angle_gamma 90.00
_space_group_name_H-M_alt 'P m -3 m'
_space_group_IT_number 221
_space_group_name_Hall '-P 4 2 3'
loop_
_atom_site_label
_atom_site_type_symbol
_atom_site_fract_x
_atom_site_fract_y
_atom_site_fract_z
Li1 Li 0.0000 0.0000 0.5000
Ti1 Ti 0.5000 0.5000 0.5000
I1 I 0.0000 0.0000 0.0000

Q: Look up the formation energy (no corrections) of the third one.
A: -938 meV/atom